Record 1
Nb3SiBi | PBE | relaxed

Summary:
Volume = 135.1 Å³ per cell
Symmetry = No. 221
Formation energy from raw total energies = 2.09 eV/atom

abc: 5.1318 5.1318 5.1318
angles: 90.00 90.00 90.00
Positions (direct):
Nb 0.0000 0.0000 0.5000
Nb 0.0000 0.5000 0.0000
Nb 0.5000 0.0000 0.0000
Si 0.5000 0.5000 0.5000
Bi 0.0000 0.0000 0.0000

Record 2
Tb2ErIr2 | PBE | relaxed

Summary:
Volume = 232.7 Å³ per cell
Symmetry = No. 15
Calculated formation energy = -735 meV/atom

abc: 6.0066 6.0066 8.2023
angles: 105.86 105.86 55.77
Positions (direct):
Tb 0.0053 0.6981 0.8489
Tb 0.3019 0.9947 0.6511
Tb 0.6981 0.0053 0.3489
Tb 0.9947 0.3019 0.1511
Er 0.3525 0.6475 0.2500
Er 0.6475 0.3525 0.7500
Ir 0.2083 0.5116 0.4936
Ir 0.4884 0.7917 0.0064
Ir 0.5116 0.2083 0.9936
Ir 0.7917 0.4884 0.5064

Record 3
Na2ScAgN | PBE | relaxed

Summary:
Volume = 99.4 Å³ per cell
Symmetry = No. 123
Formation energy from raw total energies = 0.65 eV/atom

abc: 4.7343 4.7343 4.4329
angles: 90.00 90.00 90.00
Positions (direct):
Na 0.0000 0.5000 0.0000
Na 0.5000 0.0000 0.0000
Sc 0.0000 0.0000 0.5000
Ag 0.5000 0.5000 0.5000
N 0.5000 0.5000 0.0000

Record 4
LaSnRh | PBE | relaxed

Summary:
Volume = 148.5 Å³ per cell
Symmetry = No. 11
Calculated formation energy = -759 meV/atom

abc: 5.1434 5.1473 5.6095
angles: 90.00 90.20 90.00
Positions (direct):
La 0.2494 0.2500 0.3600
La 0.7506 0.7500 0.6400
Sn 0.2512 0.7500 0.9990
Sn 0.7488 0.2500 0.0010
Rh 0.2483 0.2500 0.8019
Rh 0.7517 0.7500 0.1981

no.,density of states at the Fermi level (states/eV per cell)
1,6.28
2,7.11
3,4.56
4,1.70